Material: Zr2TaTl
Method: DFT, GGA-PBEsol
State: relaxed

abc: 3.525 3.525 6.682
angles: 90.00 90.00 90.00
Fractional positions:
Zr1 0.000 0.000 0.233
Zr2 0.000 0.000 0.767
Ta1 0.500 0.500 0.000
Tl1 0.500 0.500 0.500

For the volume, the calculation gives 83.0 Å³/cell. The total energy is -33.59 eV per cell. The space-group type is P4/mmm, No. 123. As for the energy above the most stable polymorph in this dataset: 0.000 eV/atom.